Entry 1:
Entry from the Alexandria database: crystalline CeTm2PaS4 at its relaxed geometry (PBE).

Cell: 3.839 6.907 6.662 Å, 71.34 90.00 90.00°
Each line ends with the local moment (μB).
Fractional coordinates of all 8 atoms:
S: 0.000 0.765 0.741  -0.01
S: 0.500 0.237 0.751  0.00
S: 0.500 0.763 0.249  0.00
S: 0.000 0.235 0.259  -0.01
Tm: 0.500 0.000 0.500  -0.01
Tm: 0.000 0.000 0.000  -0.01
Pa: 0.000 0.500 0.500  0.20
Ce: 0.500 0.500 0.000  0.52

- raw formation energy (kJ/mol of formula units) = -1442
- space-group type = P2/m, No. 10
- calculated density (g/cm3) = 8.3
- density of states at the Fermi level (states/eV per cell) = 8.9

***

Entry 2:
Entry from the Alexandria database: crystalline Zn2Ni2Ir at its relaxed geometry (PBE).

Cell: 3.311 3.311 6.632 Å, 75.55 75.55 90.00°
Each line ends with the local moment (μB).
Fractional coordinates of all 5 atoms:
Ni: 0.250 0.750 0.500  0.17
Ni: 0.750 0.250 0.500  0.17
Zn: 0.602 0.602 0.796  0.00
Zn: 0.398 0.398 0.204  0.00
Ir: 0.000 0.000 0.000  -0.03

- space-group type = I4/mmm, No. 139
- calculated density (g/cm3) = 10.8
- density of states at the Fermi level (states/eV per cell) = 4.1
- ΔE to the lowest computed polymorph (meV per atom) = 212.8
- energy of formation from the pure elements (meV per atom) = 205

***

Entry 3:
Entry from the Alexandria database: crystalline Tb3ScIn2 at its relaxed geometry (PBE).

Cell: 6.473 6.458 9.403 Å, 110.08 110.13 90.00°
Each line ends with the local moment (μB).
Fractional coordinates of all 12 atoms:
In: 0.628 0.868 0.735  0.01
In: 0.892 0.632 0.265  0.01
In: 0.372 0.132 0.265  0.01
In: 0.108 0.368 0.735  0.01
Sc: 0.000 0.750 0.000  0.34
Sc: 0.000 0.250 0.000  0.34
Tb: 0.500 0.250 0.000  0.32
Tb: 0.576 0.325 0.649  0.18
Tb: 0.424 0.675 0.351  0.18
Tb: 0.074 0.825 0.649  0.18
Tb: 0.500 0.750 0.000  0.32
Tb: 0.926 0.175 0.351  0.18

- space-group type = Ibam, No. 72
- calculated density (g/cm3) = 7.3
- density of states at the Fermi level (states/eV per cell) = 12.0
- ΔE to the lowest computed polymorph (meV per atom) = 38.2
- energy of formation from the pure elements (meV per atom) = -287

***

Entry 4:
Entry from the Alexandria database: crystalline K3PrBi2Se6 at its relaxed geometry (PBE).

Cell: 7.524 7.524 8.130 Å, 98.87 98.87 120.00°
Fractional coordinates of all 12 atoms:
Se: 0.265 0.265 0.787
Se: 0.929 0.593 0.788
Se: 0.593 0.929 0.788
Se: 0.407 0.071 0.212
Se: 0.071 0.407 0.212
Se: 0.735 0.735 0.213
K: 0.500 0.500 0.500
K: 0.168 0.832 0.500
K: 0.832 0.168 0.500
Bi: 0.667 0.333 0.000
Bi: 0.333 0.667 0.000
Pr: 0.000 0.000 0.000

- raw formation energy (kJ/mol of formula units) = -1296
- space-group type = C2/m, No. 12
- calculated density (g/cm3) = 5.0
- density of states at the Fermi level (states/eV per cell) = 0.0

***

Entry 5:
Entry from the Alexandria database: crystalline CaAcPPt at its relaxed geometry (PBE).

Cell: 5.185 5.185 5.185 Å, 60.00 60.00 60.00°
Fractional coordinates of all 4 atoms:
Ac: 0.000 0.000 0.000
Pt: 0.750 0.750 0.750
Ca: 0.500 0.500 0.500
P: 0.250 0.250 0.250

- space-group type = F-43m, No. 216
- calculated density (g/cm3) = 8.3
- energy of formation from the pure elements (meV per atom) = -1010

***

Entry 6:
Entry from the Alexandria database: crystalline NpCuAgSe3 at its relaxed geometry (PBE).

Cell: 4.046 7.492 9.310 Å, 100.75 90.00 90.00°
Each line ends with the local moment (μB).
Fractional coordinates of all 12 atoms:
Np: 0.750 0.326 0.827  3.43
Np: 0.250 0.674 0.173  3.43
Cu: 0.250 0.086 0.576  -0.07
Cu: 0.750 0.914 0.424  -0.07
Ag: 0.750 0.806 0.711  -0.03
Ag: 0.250 0.194 0.289  -0.03
Se: 0.250 0.598 0.857  -0.13
Se: 0.250 0.738 0.478  -0.09
Se: 0.750 0.262 0.522  -0.09
Se: 0.750 0.926 0.160  -0.12
Se: 0.750 0.402 0.143  -0.13
Se: 0.250 0.074 0.840  -0.12

- raw formation energy (kJ/mol of formula units) = -326
- space-group type = P2_1/m, No. 11
- calculated density (g/cm3) = 7.7
- density of states at the Fermi level (states/eV per cell) = 19.0

***

Entry 7:
Entry from the Alexandria database: crystalline BiP2HCl at its relaxed geometry (PBE).

Cell: 5.507 5.507 5.579 Å, 90.00 90.00 90.00°
Each line ends with the local moment (μB).
Fractional coordinates of all 5 atoms:
Cl: 0.000 0.000 0.500  0.09
H: 0.500 0.500 0.500  0.38
P: 0.000 0.500 0.000  0.63
P: 0.500 0.000 0.000  0.63
Bi: 0.000 0.000 0.000  -0.07

- space-group type = P4/mmm, No. 123
- calculated density (g/cm3) = 3.0
- density of states at the Fermi level (states/eV per cell) = 2.5
- ΔE to the lowest computed polymorph (meV per atom) = 643.8

***

Entry 8:
Entry from the Alexandria database: crystalline Pr2ScTl4 at its relaxed geometry (PBE).

Cell: 5.225 5.225 8.460 Å, 107.99 107.99 90.00°
Fractional coordinates of all 7 atoms:
Tl: 0.395 0.895 0.790
Tl: 0.105 0.605 0.210
Tl: 0.895 0.395 0.790
Tl: 0.605 0.105 0.210
Pr: 0.752 0.752 0.505
Pr: 0.248 0.248 0.495
Sc: 0.000 0.000 0.000

- space-group type = I4/mmm, No. 139
- calculated density (g/cm3) = 9.1
- density of states at the Fermi level (states/eV per cell) = 6.2
- energy of formation from the pure elements (meV per atom) = -232

***

Entry 9:
Entry from the Alexandria database: crystalline Rb2ZnRhI6 at its relaxed geometry (PBE).

Cell: 8.165 8.165 8.013 Å, 59.37 59.37 90.00°
Fractional coordinates of all 10 atoms:
I: 0.237 0.237 0.000
I: 0.763 0.237 0.000
I: 0.763 0.763 0.000
I: 0.250 0.250 0.500
I: 0.237 0.763 0.000
I: 0.750 0.750 0.500
Rh: 0.000 0.000 0.000
Rb: 0.750 0.250 0.500
Rb: 0.250 0.750 0.500
Zn: 0.500 0.500 0.000

- raw formation energy (kJ/mol of formula units) = -665
- space-group type = I4/mmm, No. 139
- calculated density (g/cm3) = 4.9
- density of states at the Fermi level (states/eV per cell) = 2.8

***

Entry 10:
Entry from the Alexandria database: crystalline CeErU at its relaxed geometry (PBE).

Cell: 3.137 3.137 8.158 Å, 101.08 101.08 90.00°
Each line ends with the local moment (μB).
Fractional coordinates of all 3 atoms:
U: 0.669 0.669 0.338  1.48
Er: 0.009 0.009 0.019  -0.08
Ce: 0.321 0.321 0.643  -0.03

- space-group type = I4mm, No. 107
- calculated density (g/cm3) = 11.7
- density of states at the Fermi level (states/eV per cell) = 8.4
- ΔE to the lowest computed polymorph (meV per atom) = 0.0
- energy of formation from the pure elements (meV per atom) = 287

***

Entry 11:
Entry from the Alexandria database: crystalline TaPdNO2 at its relaxed geometry (PBE).

Cell: 3.867 3.867 3.969 Å, 90.00 90.00 90.00°
Fractional coordinates of all 5 atoms:
Pd: 0.000 0.000 0.000
O: 0.000 0.500 0.000
O: 0.500 0.000 0.000
Ta: 0.500 0.500 0.500
N: 0.000 0.000 0.500

- raw formation energy (kJ/mol of formula units) = 281
- space-group type = P4/mmm, No. 123
- calculated density (g/cm3) = 9.3
- density of states at the Fermi level (states/eV per cell) = 4.1

***

Entry 12:
Entry from the Alexandria database: crystalline Zr2TiBiO at its relaxed geometry (PBE).

Cell: 4.714 4.714 4.026 Å, 90.00 90.00 90.00°
Fractional coordinates of all 5 atoms:
Bi: 0.500 0.500 0.500
O: 0.000 0.000 0.000
Zr: 0.500 0.000 0.000
Zr: 0.000 0.500 0.000
Ti: 0.000 0.000 0.500

- raw formation energy (kJ/mol of formula units) = -506
- space-group type = P4/mmm, No. 123
- calculated density (g/cm3) = 8.4
- density of states at the Fermi level (states/eV per cell) = 4.5